# BaTcPb2 (PBE, optimized geometry)
data_BaTcPb2
_chemical_formula_sum 'Ba1 Tc1 Pb2'
_cell_length_a 3.761
_cell_length_b 3.761
_cell_length_c 8.193
_cell_angle_alpha 90.00
_cell_angle_beta 90.00
_cell_angle_gamma 90.00
_symmetry_space_group_name_H-M 'P 4 m m'
_symmetry_Int_Tables_number 99
_symmetry_space_group_name_Hall 'P 4 -2'
loop_
_atom_site_label
_atom_site_type_symbol
_atom_site_fract_x
_atom_site_fract_y
_atom_site_fract_z
_atom_site_occupancy
Ba1 Ba 0.000 0.000 0.000 1
Tc1 Tc 0.500 0.500 0.696 1
Pb1 Pb 0.000 0.000 0.583 1
Pb2 Pb 0.500 0.500 0.331 1
# Relative energy among the computed polymorphs = 0.188 eV per atom
# ρ = 9.31 g cm⁻³
# D(E_F) = 5.041 states/eV/f.u.